5
Lattice="-2.715 2.787 -1.271 -3.048 -2.290 1.490 0.416 2.652 4.926" Properties=species:S:1:pos:R:3 comment="ZrFeSeN2 (PBE, optimized geometry)" energy_ev_per_atom=-6.81 polymorph_energy_mev_per_atom=291 density_g_cm3=4.49 pbc="T T T"
Se 0.208 1.326 2.463
Zr 0.000 0.000 0.000
Fe -2.674 1.574 2.572
N -1.524 -1.145 0.745
N -1.357 1.394 -0.636